VASP calculation (PBE+U) on a relaxed structure of VSb2IO.

Summary:
* spin magnetization: 0.0001 μB per atom
* space-group type: P4/mmm, No. 123
* calculated volume: 26.32 A^3/atom
* energy relative to the lowest polymorph listed for this composition: 753.0 meV/atom

Unit cell a=5.110 b=5.110 c=5.039 alpha=90.00 beta=90.00 gamma=90.00
Element x y z (fractional)
1 V 0.000 0.000 0.000
2 Sb 0.000 0.500 0.000
3 Sb 0.500 0.000 0.000
4 I 0.000 0.000 0.500
5 O 0.500 0.500 0.500